[1]
Computed, not measured: a relaxed ScVSb crystal at the GGA-PBE level of DFT.

- ΔE_f (raw) (meV/atom) = 656
- DOS at the Fermi energy (states/eV per atom) = 1.181
- space-group type = I4mm, No. 107

Lattice parameters (Å, degrees): 8.006 8.006 8.006 158.83 158.83 30.12
Positions (direct):
Sc 0.000 0.000 0.000
V 0.821 0.821 0.000
Sb 0.645 0.645 0.000

[2]
Computed, not measured: a relaxed Sc2V2Sb crystal at the GGA-PBE level of DFT.

- ΔE_f (raw) (meV/atom) = -88
- DOS at the Fermi energy (states/eV per atom) = 1.003
- space-group type = P4/mbm, No. 127

Lattice parameters (Å, degrees): 6.889 6.889 4.092 90.00 90.00 90.00
Positions (direct):
Sc 0.173 0.327 0.000
Sc 0.327 0.827 0.000
Sc 0.673 0.173 0.000
Sc 0.827 0.673 0.000
V 0.117 0.617 0.500
V 0.383 0.117 0.500
V 0.617 0.883 0.500
V 0.883 0.383 0.500
Sb 0.000 0.000 0.500
Sb 0.500 0.500 0.500

[3]
Computed, not measured: a relaxed ScVSb3 crystal at the GGA-PBE level of DFT.

- ΔE_f (raw) (meV/atom) = 269
- DOS at the Fermi energy (states/eV per atom) = 1.066
- space-group type = Pm-3m, No. 221

Lattice parameters (Å, degrees): 5.137 5.137 5.137 90.00 90.00 90.00
Positions (direct):
Sc 0.000 0.000 0.000
V 0.500 0.500 0.500
Sb 0.000 0.500 0.500
Sb 0.500 0.000 0.500
Sb 0.500 0.500 0.000

[4]
Computed, not measured: a relaxed Sc2VSbW crystal at the GGA-PBE level of DFT.

- ΔE_f (raw) (meV/atom) = 617
- DOS at the Fermi energy (states/eV per atom) = 1.020
- space-group type = P4/mmm, No. 123

Lattice parameters (Å, degrees): 5.143 5.143 4.543 90.00 90.00 90.00
Positions (direct):
Sc 0.000 0.500 0.000
Sc 0.500 0.000 0.000
V 0.000 0.000 0.500
Sb 0.500 0.500 0.500
W 0.000 0.000 0.000